Computed, not measured: an optimized crystal structure of Al2CrMoF at the GGA+U level of DFT.

Lattice parameters (Å, degrees): 4.468 4.468 4.448 90.00 90.00 90.00
Element x y z (fractional)
Al 0.000 0.500 0.000
Al 0.500 0.000 0.000
Cr 0.000 0.000 0.500
Mo 0.500 0.500 0.500
F 0.500 0.500 0.000

DFT total energy ... -23.2 eV per cell
Volume ... 88.82 Å³/f.u.
Crystal system ... tetragonal
Spin magnetization ... 0.949 μB/f.u.